The following is a DFT calculation (GGA-PBE) of a geometry-optimized KLi structure.

Structure (extended XYZ):
```
2
Lattice="5.839 0.000 0.000 2.920 5.057 0.000 2.920 1.686 4.768" Properties=species:S:1:pos:R:3 pbc="T T T"
K 0.000 0.000 0.000
Li 8.759 5.057 3.576
```

Computed properties:
DOS(E_F), states/eV/atom: 0.59
Formation enthalpy at 0 K, eV per atom: 0.5056

---

The following is a DFT calculation (GGA-PBE) of a geometry-optimized KLi structure.

Structure (extended XYZ):
```
2
Lattice="-1.443 4.393 2.411 -4.913 0.576 1.648 -1.061 -0.055 5.105" Properties=species:S:1:pos:R:3 pbc="T T T"
Li -3.709 2.457 4.582
K 0.000 0.000 0.000
```

Computed properties:
DOS(E_F), states/eV/atom: 0.78
Formation enthalpy at 0 K, eV per atom: 0.3026

---

The following is a DFT calculation (GGA-PBE) of a geometry-optimized K5Li structure.

Structure (extended XYZ):
```
6
Lattice="-4.057 -6.224 -3.254 0.873 -7.218 -3.596 -0.963 -7.253 7.181" Properties=species:S:1:pos:R:3 pbc="T T T"
Li -2.319 -10.136 -3.986
K -1.925 -10.706 3.352
K -2.800 -13.776 -0.351
K -1.315 -6.360 -0.486
K -1.097 -7.727 6.627
K -0.492 -3.387 2.742
```

Computed properties:
DOS(E_F), states/eV/atom: 0.63
Formation enthalpy at 0 K, eV per atom: 0.0649
E above lowest polymorph, eV per formula unit: 0.03

---

The following is a DFT calculation (GGA-PBE) of a geometry-optimized KLi3 structure.

Structure (extended XYZ):
```
8
Lattice="4.434 -5.063 0.000 4.434 5.063 0.000 0.000 0.000 5.788" Properties=species:S:1:pos:R:3 pbc="T T T"
Li 5.874 -2.892 1.447
Li 4.434 -4.343 4.341
Li 5.874 2.892 4.341
Li 4.434 4.343 1.447
Li 2.994 -2.892 1.447
Li 2.994 2.892 4.341
K 4.434 -0.840 4.341
K 4.434 0.840 1.447
```

Computed properties:
DOS(E_F), states/eV/atom: 0.55
Formation enthalpy at 0 K, eV per atom: 0.2128